# GGA-PBE KAg2Ir, optimized geometry
# Spin magnetization: 1.447 μB per cell
# Energy above the lowest structure with this stoichiometry: 7.56 kJ per mole of atoms
# Electronic total energy: -26.915 eV for the cell shown
# Formation enthalpy at 0 K: 0.55 eV per atom
data_KAg2Ir
_chemical_formula_sum 'K2 Ag4 Ir2'
_cell_length_a 6.555
_cell_length_b 8.424
_cell_length_c 2.810
_cell_angle_alpha 90.00
_cell_angle_beta 90.00
_cell_angle_gamma 90.00
_symmetry_space_group_name_H-M 'C m m m'
_symmetry_Int_Tables_number 65
_symmetry_space_group_name_Hall '-C 2 2'
loop_
_atom_site_label
_atom_site_type_symbol
_atom_site_fract_x
_atom_site_fract_y
_atom_site_fract_z
K1 K 0.000 0.000 0.000
Ag1 Ag 0.250 0.250 0.500
Ir1 Ir 0.000 0.500 0.000